No. 1
Here is a relaxed structure of MnFePt2 from the Alexandria database. Energies are from PBE.

Calculated values
Crystal system   cubic
Spin magnetization   7.19 μB/cell
Formation energy   -0.27 eV/f.u.
Symmetry   F-43m (216)
Volume   58.9 Å³ per cell

a = 4.3680 Å, b = 4.3680 Å, c = 4.3680 Å
α = 60.00°, β = 60.00°, γ = 60.00°
Each line ends with the local moment (μB).
Fractional coordinates of all 4 atoms:
Fe 0.5000 0.5000 0.5000  2.96
Mn 0.7500 0.7500 0.7500  3.62
Pt 0.0000 0.0000 0.0000  0.20
Pt 0.2500 0.2500 0.2500  0.27


No. 2
Here is a relaxed structure of ScTc2O from the Alexandria database. Energies are from PBE.

Calculated values
Crystal system   tetragonal
Spin magnetization   0.00 μB/cell
Symmetry   I-42d (122)
E_form (uncorrected)   -0.43 eV/atom
Volume   113.1 Å³ per cell

a = 7.1459 Å, b = 7.1459 Å, c = 5.5171 Å
α = 49.64°, β = 49.64°, γ = 90.00°
Fractional coordinates of all 8 atoms:
Sc 0.0000 0.0000 0.0000
Sc 0.7500 0.2500 0.5000
Tc 0.5201 0.1250 0.2500
Tc 0.2299 0.6250 0.2500
Tc 0.3750 0.4799 0.7500
Tc 0.8750 0.7701 0.7500
O 0.5000 0.5000 0.0000
O 0.2500 0.7500 0.5000


No. 3
Here is a relaxed structure of La4YCo2 from the Alexandria database. Energies are from PBE.

Calculated values
Crystal system   monoclinic
Spin magnetization   0.00 μB/cell
Formation energy   -0.09 eV/f.u.
Symmetry   P2_1/m (11)
Volume   383.3 Å³ per cell

a = 6.7079 Å, b = 7.9790 Å, c = 7.6739 Å
α = 111.05°, β = 90.00°, γ = 90.00°
Fractional coordinates of all 14 atoms:
Y 0.2500 0.8464 0.9834
Y 0.7500 0.1536 0.0166
Co 0.2500 0.2164 0.9799
Co 0.7500 0.7836 0.0201
Co 0.7500 0.3494 0.3988
Co 0.2500 0.6506 0.6012
La 0.4907 0.4166 0.7689
La 0.2500 0.2550 0.3026
La 0.7500 0.7450 0.6974
La 0.0093 0.4166 0.7689
La 0.7500 0.0403 0.3891
La 0.9907 0.5834 0.2311
La 0.5093 0.5834 0.2311
La 0.2500 0.9597 0.6109


No. 4
Here is a relaxed structure of MnNbCoHSe from the Alexandria database. Energies are from PBE.

Calculated values
Crystal system   triclinic
Spin magnetization   0.71 μB/cell
Symmetry   P1 (1)
Volume   64.0 Å³ per cell

a = 3.3317 Å, b = 4.0117 Å, c = 5.3183 Å
α = 91.65°, β = 89.93°, γ = 115.67°
Each line ends with the local moment (μB).
Fractional coordinates of all 5 atoms:
Mn 0.0665 0.4239 0.6379  1.32
Nb 0.7686 0.8101 0.4019  -0.24
Co 0.0743 0.4397 0.1185  -0.37
H 0.4728 0.2581 0.5122  -0.01
Se 0.7644 0.8109 0.9044  -0.01


No. 5
Here is a relaxed structure of Zr2Co2Si from the Alexandria database. Energies are from PBE.

Calculated values
Crystal system   tetragonal
Spin magnetization   0.00 μB/cell
Symmetry   P4/mbm (127)
E_form (uncorrected)   -0.43 eV/atom
Volume   156.2 Å³ per cell

a = 6.6923 Å, b = 6.6923 Å, c = 3.4876 Å
α = 90.00°, β = 90.00°, γ = 90.00°
Fractional coordinates of all 10 atoms:
Si 0.0000 0.0000 0.0000
Si 0.5000 0.5000 0.0000
Co 0.3694 0.8694 0.0000
Co 0.8694 0.6306 0.0000
Co 0.6306 0.1306 0.0000
Co 0.1306 0.3694 0.0000
Zr 0.1786 0.6786 0.5000
Zr 0.6786 0.8214 0.5000
Zr 0.8214 0.3214 0.5000
Zr 0.3214 0.1786 0.5000


No. 6
Here is a relaxed structure of Sr2Li2In from the Alexandria database. Energies are from PBE.

Calculated values
Crystal system   tetragonal
Spin magnetization   0.00 μB/cell
Formation energy   -0.54 eV/f.u.
Symmetry   I4/mmm (139)
Volume   167.5 Å³ per cell

a = 3.9943 Å, b = 3.9943 Å, c = 10.8726 Å
α = 79.42°, β = 79.42°, γ = 90.00°
Fractional coordinates of all 5 atoms:
Sr 0.4003 0.4003 0.1993
Sr 0.5997 0.5997 0.8007
Li 0.7500 0.2500 0.5000
Li 0.2500 0.7500 0.5000
In 0.0000 0.0000 0.0000


No. 7
Here is a relaxed structure of CsLaO2 from the Alexandria database. Energies are from PBE.

Calculated values
Crystal system   trigonal
Spin magnetization   0.00 μB/cell
Symmetry   R3m (160)
E_form (uncorrected)   -2.40 eV/atom
Volume   110.0 Å³ per cell

a = 7.9465 Å, b = 7.9465 Å, c = 7.9465 Å
α = 29.83°, β = 29.83°, γ = 29.83°
Fractional coordinates of all 4 atoms:
Cs 0.9997 0.9997 0.9997
O 0.1474 0.1474 0.1474
O 0.5973 0.5973 0.5973
La 0.5066 0.5066 0.5066


No. 8
Here is a relaxed structure of AcTb4Dy2 from the Alexandria database. Energies are from PBE.

Calculated values
Crystal system   triclinic
Spin magnetization   0.00 μB/cell
Formation energy   1.16 eV/f.u.
Symmetry   P1 (1)
Volume   488.4 Å³ per cell

a = 9.2909 Å, b = 9.2705 Å, c = 9.1210 Å
α = 136.65°, β = 107.29°, γ = 89.52°
Fractional coordinates of all 14 atoms:
Ac 0.1345 0.6801 0.6818
Ac 0.2503 0.2974 0.1792
Tb 0.9185 0.0738 0.1829
Tb 0.4801 0.6384 0.2183
Tb 0.8313 0.4897 0.7213
Tb 0.7773 0.1368 0.7625
Tb 0.1939 0.8743 0.2125
Tb 0.3664 0.0245 0.6940
Tb 0.5826 0.7660 0.7107
Tb 0.8727 0.7338 0.2613
Dy 0.4770 0.3954 0.7043
Dy 0.5609 0.9799 0.2078
Dy 0.6835 0.3638 0.2371
Dy 0.1211 0.2962 0.7262


No. 9
Here is a relaxed structure of RbRuF2 from the Alexandria database. Energies are from PBE.

Calculated values
Crystal system   cubic
Spin magnetization   3.00 μB/cell
Symmetry   Fm-3m (225)
E_form (uncorrected)   -0.75 eV/atom
Volume   68.0 Å³ per cell

a = 4.5808 Å, b = 4.5808 Å, c = 4.5808 Å
α = 60.00°, β = 60.00°, γ = 60.00°
Each line ends with the local moment (μB).
Fractional coordinates of all 4 atoms:
Ru 0.5000 0.5000 0.5000  2.64
Rb 0.0000 0.0000 0.0000  0.00
F 0.2500 0.2500 0.2500  0.07
F 0.7500 0.7500 0.7500  0.07


No. 10
Here is a relaxed structure of Pa2FeTc from the Alexandria database. Energies are from PBE.

Calculated values
Crystal system   tetragonal
Spin magnetization   0.00 μB/cell
Formation energy   -0.32 eV/f.u.
Symmetry   P4/mmm (123)
Volume   76.1 Å³ per cell

a = 3.4180 Å, b = 3.4180 Å, c = 6.5102 Å
α = 90.00°, β = 90.00°, γ = 90.00°
Fractional coordinates of all 4 atoms:
Pa 0.0000 0.0000 0.7726
Pa 0.0000 0.0000 0.2274
Tc 0.5000 0.5000 0.5000
Fe 0.5000 0.5000 0.0000


No. 11
Here is a relaxed structure of MgTl2Fe from the Alexandria database. Energies are from PBE.

Calculated values
Crystal system   orthorhombic
Spin magnetization   2.89 μB/cell
Formation energy   1.62 eV/f.u.
Symmetry   Pmmm (47)
Volume   85.7 Å³ per cell

a = 4.5923 Å, b = 4.6050 Å, c = 4.0516 Å
α = 90.00°, β = 90.00°, γ = 90.00°
Each line ends with the local moment (μB).
Fractional coordinates of all 4 atoms:
Fe 0.5000 0.0000 0.5000  2.88
Mg 0.0000 0.5000 0.5000  -0.01
Tl 0.0000 0.0000 0.0000  0.00
Tl 0.5000 0.5000 0.0000  0.00


No. 12
Here is a relaxed structure of PmPr4S5 from the Alexandria database. Energies are from PBE.

Calculated values
Crystal system   orthorhombic
Spin magnetization   0.00 μB/cell
Symmetry   Immm (71)
E_form (uncorrected)   -2.02 eV/atom
Volume   242.2 Å³ per cell

a = 4.0907 Å, b = 5.7834 Å, c = 10.8325 Å
α = 105.48°, β = 100.88°, γ = 90.00°
Fractional coordinates of all 10 atoms:
Pm 0.0000 0.0000 0.0000
Pr 0.3999 0.3999 0.7999
Pr 0.8008 0.8008 0.6017
Pr 0.1992 0.1992 0.3983
Pr 0.6001 0.6001 0.2001
S 0.5978 0.0978 0.1956
S 0.7996 0.2996 0.5992
S 0.2004 0.7004 0.4008
S 0.0000 0.5000 0.0000
S 0.4022 0.9022 0.8044


Density: 14.12; 7.54; 6.61; 7.44; 6.98; 3.01; 4.59; 8.08; 5.49; 13.45; 9.48; 5.96 (g cm⁻³)
Total energy: -30.0; -67.4; -80.9; -33.0; -77.8; -10.5; -25.3; -61.3; -17.0; -38.1; -13.2; -64.7 (eV for the cell shown)